Run i
The following is a DFT calculation (PBE) of an optimized crystal structure of MnBeCo.

Cell and atoms, written as POSCAR:
```
MnBeCo
1.0
5.1718 0.0000 0.0000
0.0000 5.1718 0.0000
0.0000 0.0000 5.1718
Mn Be Co
4 4 4
Direct
0.0000 0.0000 0.0000
0.0000 0.5000 0.5000
0.5000 0.0000 0.5000
0.5000 0.5000 0.0000
0.2500 0.2500 0.2500
0.2500 0.7500 0.7500
0.7500 0.2500 0.7500
0.7500 0.7500 0.2500
0.0000 0.0000 0.5000
0.0000 0.5000 0.0000
0.5000 0.0000 0.0000
0.5000 0.5000 0.5000
```

Run ii
The following is a DFT calculation (PBE) of an optimized crystal structure of MnBeCo.

Cell and atoms, written as POSCAR:
```
MnBeCo
1.0
4.2592 0.0000 0.0000
0.0000 3.8097 0.0000
0.0000 0.0000 7.1685
Mn Be Co
4 4 4
Direct
0.1491 0.2500 0.0063
0.3509 0.7500 0.5063
0.6491 0.2500 0.4937
0.8509 0.7500 0.9937
0.1516 0.2500 0.6671
0.3484 0.7500 0.1671
0.6516 0.2500 0.8329
0.8484 0.7500 0.3329
0.1512 0.2500 0.3305
0.3488 0.7500 0.8305
0.6512 0.2500 0.1695
0.8488 0.7500 0.6695
```

run ii has the most favorable energy; the next structure is 292 meV per atom above.

Run i
The following is a DFT calculation (PBE) of an optimized crystal structure of Mn2RhW.

Cell and atoms, written as POSCAR:
```
Mn2RhW
1.0
3.0834 0.0000 0.0000
0.0000 3.0834 0.0000
0.0000 0.0000 5.8572
Mn Rh W
2 1 1
Direct
0.0000 0.0000 0.2429
0.0000 0.0000 0.7571
0.5000 0.5000 0.5000
0.5000 0.5000 0.0000
```

Run ii
The following is a DFT calculation (PBE) of an optimized crystal structure of Mn2RhW.

Cell and atoms, written as POSCAR:
```
Mn2RhW
1.0
3.6806 0.0000 0.0000
0.0000 3.6806 0.0000
0.0000 0.0000 17.9052
Mn Rh W
8 4 4
Direct
0.2491 0.2500 0.1250
0.2500 0.7491 0.3750
0.2500 0.7509 0.8750
0.2509 0.2500 0.6250
0.7491 0.7500 0.6250
0.7500 0.2491 0.8750
0.7500 0.2509 0.3750
0.7509 0.7500 0.1250
0.0000 0.0000 0.5000
0.0000 0.5000 0.7500
0.5000 0.0000 0.2500
0.5000 0.5000 0.0000
0.0000 0.0000 0.0000
0.0000 0.5000 0.2500
0.5000 0.0000 0.7500
0.5000 0.5000 0.5000
```

run i has the most favorable energy; the next structure is 625 meV per atom above.

Run i
The following is a DFT calculation (PBE) of an optimized crystal structure of B5C7.

Cell and atoms, written as POSCAR:
```
B5C7
1.0
1.8686 -5.8114 0.0000
1.8686 5.8114 0.0000
0.0000 0.0000 3.6551
B C
5 7
Direct
0.0000 0.0000 0.0000
0.0000 0.5000 0.7900
0.1473 0.8527 0.5000
0.5000 0.0000 0.2100
0.8527 0.1473 0.5000
0.1904 0.3496 0.2525
0.3478 0.6522 0.0000
0.3496 0.1904 0.7475
0.5000 0.5000 0.5000
0.6504 0.8096 0.7475
0.6522 0.3478 0.0000
0.8096 0.6504 0.2525
```

Run ii
The following is a DFT calculation (PBE) of an optimized crystal structure of B5C7.

Cell and atoms, written as POSCAR:
```
B5C7
1.0
2.6173 0.0000 0.0000
-1.3087 2.2667 0.0000
0.0000 0.0000 14.7658
B C
5 7
Direct
0.0000 0.0000 0.0000
0.0000 0.0000 0.1147
0.0000 0.0000 0.4553
0.0000 0.0000 0.6909
0.3333 0.6667 0.1873
0.3333 0.6667 0.2947
0.3333 0.6667 0.7051
0.3333 0.6667 0.8155
0.6667 0.3333 0.3291
0.6667 0.3333 0.4415
0.6667 0.3333 0.8516
0.6667 0.3333 0.9532
```

run i has the most favorable energy; the next structure is 43 meV per atom above.